## Li3YAu4 (PBE)

Data for a geometry-optimized Li3YAu4 structure.

Structure (POSCAR):
```
Li3YAu4
1.0
-3.343 3.343 3.343
3.343 -3.343 3.343
3.343 3.343 -3.343
Li Y Au
3 1 4
Cartesian
3.343 0.000 0.000
0.000 3.343 0.000
0.000 0.000 3.343
0.000 0.000 0.000
1.671 1.671 -1.671
1.671 -1.671 1.671
-1.671 1.671 1.671
1.671 1.671 1.671
```

Properties
E_form   -0.56 eV per atom
Total energy   -29.819 eV for the cell shown